[1]
Computed, not measured: an optimized crystal structure of Ca2AlZn at the GGA-PBE level of DFT.

Calculated values
E_form: -0.221 eV/atom

Unit cell a=6.248 b=4.422 c=8.365 alpha=90.00 beta=109.59 gamma=90.00
Element x y z (fractional)
Ca 0.202 0.250 0.419
Ca 0.206 0.250 0.932
Ca 0.794 0.750 0.068
Ca 0.798 0.750 0.581
Al 0.365 0.750 0.715
Al 0.635 0.250 0.285
Zn 0.380 0.750 0.220
Zn 0.620 0.250 0.780

[2]
Computed, not measured: an optimized crystal structure of CePr2Rh9 at the GGA-PBE level of DFT.

Calculated values
E_form: -0.509 eV/atom

Unit cell a=9.430 b=9.430 c=9.430 alpha=32.70 beta=32.70 gamma=32.70
Element x y z (fractional)
Ce 0.000 0.000 0.000
Pr 0.139 0.139 0.139
Pr 0.861 0.861 0.861
Rh 0.082 0.581 0.581
Rh 0.333 0.333 0.333
Rh 0.419 0.419 0.918
Rh 0.419 0.918 0.419
Rh 0.500 0.500 0.500
Rh 0.581 0.082 0.581
Rh 0.581 0.581 0.082
Rh 0.667 0.667 0.667
Rh 0.918 0.419 0.419

[3]
Computed, not measured: an optimized crystal structure of ScAl2Ag at the GGA-PBE level of DFT.

Calculated values
E_form: -0.145 eV/atom

Unit cell a=5.675 b=5.675 c=5.675 alpha=149.43 beta=126.13 gamma=63.22
Element x y z (fractional)
Sc 0.000 0.000 0.000
Al 0.265 0.765 0.500
Al 0.735 0.235 0.500
Ag 0.500 0.500 0.000

[4]
Computed, not measured: an optimized crystal structure of Be4GaNi at the GGA-PBE level of DFT.

Calculated values
E_form: -0.196 eV/atom

Unit cell a=4.274 b=4.274 c=4.274 alpha=60.00 beta=60.00 gamma=60.00
Element x y z (fractional)
Be 0.124 0.124 0.124
Be 0.124 0.124 0.629
Be 0.124 0.629 0.124
Be 0.629 0.124 0.124
Ga 0.500 0.500 0.500
Ni 0.750 0.750 0.750

[5]
Computed, not measured: an optimized crystal structure of AgAsPtRh2 at the GGA-PBE level of DFT.

Calculated values
E_form: 1.285 eV/atom

Unit cell a=4.778 b=4.778 c=5.006 alpha=90.00 beta=90.00 gamma=90.00
Element x y z (fractional)
Ag 0.000 0.000 0.000
As 0.500 0.500 0.000
Pt 0.000 0.000 0.500
Rh 0.000 0.500 0.500
Rh 0.500 0.000 0.500

[6]
Computed, not measured: an optimized crystal structure of Sc4Cu3Ag at the GGA-PBE level of DFT.

Calculated values
E_form: -0.265 eV/atom

Unit cell a=3.287 b=4.701 c=9.368 alpha=90.00 beta=90.00 gamma=90.00
Element x y z (fractional)
Sc 0.000 0.000 0.000
Sc 0.000 0.000 0.500
Sc 0.000 0.500 0.239
Sc 0.000 0.500 0.761
Cu 0.500 0.000 0.249
Cu 0.500 0.000 0.751
Cu 0.500 0.500 0.000
Ag 0.500 0.500 0.500

Question: Among the records above, which one has the lowest E_form?
Answer: CePr2Rh9